[1]
The following is a PBE calculation of an optimized crystal structure of TlPtAu2, from Alexandria via LeMat-Bulk.

```
TlPtAu2
1.0
-4.6460 -0.7455 0.5798
-2.7953 3.5191 1.5098
-3.1100 1.9972 -2.9692
Au Pt Tl
2 1 1
Cartesian
-7.9134 3.5780 -0.6598
-2.6378 1.1927 -0.2199
0.0000 0.0000 0.0000
-5.2756 2.3853 -0.4399
```

Properties
Energy above the most stable polymorph in this dataset = 79 meV/atom

***

[2]
The following is a PBE calculation of an optimized crystal structure of Pr6Ho2Al, from Alexandria via LeMat-Bulk.

```
Pr6Ho2Al
1.0
-4.6045 2.6424 1.3923
-4.4264 -9.0883 2.6106
3.5647 1.0685 9.7651
Ho Al Pr
4 2 12
Cartesian
-3.0749 0.8732 9.8067
-3.2376 -5.0652 9.7322
-2.2286 -0.3122 4.0358
-2.3913 -6.2506 3.9613
-4.5154 -3.2230 2.0015
1.7823 0.5343 4.8825
-4.3503 0.2929 6.6890
-4.1075 2.4883 3.3261
-5.8300 -0.6424 3.5727
-3.5754 -3.2434 5.1535
-0.6312 0.8580 7.1025
-5.7528 -6.0174 3.2187
-4.8350 -6.2354 6.6655
-1.1159 -5.6703 7.0790
0.3638 -4.7349 10.1953
0.2866 0.6401 10.5494
-1.8908 -2.1340 8.6145
-1.3587 -7.8657 10.4419
```

***

[3]
The following is a PBE calculation of an optimized crystal structure of YGa2Hg, from Alexandria via LeMat-Bulk.

```
YGa2Hg
1.0
-0.4526 2.3799 3.6474
3.4809 -2.0062 1.7410
7.5328 7.2680 -1.1794
Hg Ga Y
2 4 2
Cartesian
4.2972 4.9174 2.5811
0.0000 0.0000 0.0000
2.0200 3.1347 2.3266
8.4178 5.7097 3.8896
6.6667 5.6595 1.0768
4.0176 0.7796 1.1250
6.2639 2.7243 1.6279
1.5141 0.1869 2.6942
```

***

| no. | Fermi-level density of states (states/eV/f.u.) | formation energy from the elements (kJ per mole of atoms) |
| --- | --- | --- |
| 1 | 1.84 | 15.0 |
| 2 | 13.03 | -1.2 |
| 3 | 2.38 | -13.1 |